[1]
# U2VSi3Ir4, relaxed, DFT PBE-GGA
data_U2VSi3Ir4
_chemical_formula_sum 'U2 V1 Si3 Ir4'
_cell_length_a 4.048
_cell_length_b 4.048
_cell_length_c 10.216
_cell_angle_alpha 90.00
_cell_angle_beta 90.00
_cell_angle_gamma 90.00
_space_group_name_H-M_alt 'P -4 m 2'
_space_group_IT_number 115
loop_
_space_group_symop_operation_xyz
'x,y,z'
'y,-x,-z'
'-x,-y,z'
'-y,x,-z'
'-x,y,z'
'-y,-x,-z'
'x,-y,z'
'y,x,-z'
loop_
_atom_site_label
_atom_site_fract_x
_atom_site_fract_y
_atom_site_fract_z
U1 0.000 0.500 0.250
V1 0.000 0.000 0.500
Si1 0.000 0.500 0.869
Si2 0.500 0.500 0.500
Ir1 0.000 0.000 0.000
Ir2 0.000 0.500 0.637
Ir3 0.500 0.500 0.000
# Density: 13.69 g cm⁻³
# ΔE_f (raw): -0.726 eV/atom
# E: -9.067 eV/atom

---

[2]
# UZnSi2Ir2, relaxed, DFT PBE-GGA
data_UZnSi2Ir2
_chemical_formula_sum 'U1 Zn1 Si2 Ir2'
_cell_length_a 4.2408
_cell_length_b 4.2408
_cell_length_c 6.2989
_cell_angle_alpha 90.00
_cell_angle_beta 90.00
_cell_angle_gamma 120.00
_space_group_name_H-M_alt 'P -3 m 1'
_space_group_IT_number 164
_space_group_name_Hall '-P 3 2"'
loop_
_atom_site_label
_atom_site_fract_x
_atom_site_fract_y
_atom_site_fract_z
U1 0.0000 0.0000 0.0000
Zn1 0.0000 0.0000 0.5000
Si1 0.3333 0.6667 0.6976
Ir1 0.3333 0.6667 0.2803
# Density: 12.59 g cm⁻³
# ΔE_f (raw): -0.484 eV/atom
# E: -7.339 eV/atom

---

[3]
# U2ZnSi3Ir4, relaxed, DFT PBE-GGA
data_U2ZnSi3Ir4
_chemical_formula_sum 'U2 Zn1 Si3 Ir4'
_cell_length_a 4.025
_cell_length_b 4.025
_cell_length_c 10.371
_cell_angle_alpha 90.00
_cell_angle_beta 90.00
_cell_angle_gamma 90.00
_space_group_name_H-M_alt 'P -4 m 2'
_space_group_IT_number 115
loop_
_space_group_symop_operation_xyz
'x,y,z'
'y,-x,-z'
'-x,-y,z'
'-y,x,-z'
'-x,y,z'
'-y,-x,-z'
'x,-y,z'
'y,x,-z'
loop_
_atom_site_label
_atom_site_fract_x
_atom_site_fract_y
_atom_site_fract_z
U1 0.000 0.500 0.247
Zn1 0.500 0.500 0.000
Si1 0.000 0.000 0.000
Si2 0.000 0.500 0.627
Ir1 0.000 0.000 0.500
Ir2 0.000 0.500 0.852
Ir3 0.500 0.500 0.500
# Density: 13.79 g cm⁻³
# ΔE_f (raw): -0.678 eV/atom
# E: -8.234 eV/atom

---

[4]
# U2Zn2Si4Ir, relaxed, DFT PBE-GGA
data_U2Zn2Si4Ir
_chemical_formula_sum 'U4 Zn4 Si8 Ir2'
_cell_length_a 6.008
_cell_length_b 6.008
_cell_length_c 8.497
_cell_angle_alpha 90.00
_cell_angle_beta 90.00
_cell_angle_gamma 90.00
_space_group_name_H-M_alt 'I 4/m m m'
_space_group_IT_number 139
_space_group_name_Hall '-I 4 2'
loop_
_atom_site_label
_atom_site_fract_x
_atom_site_fract_y
_atom_site_fract_z
U1 0.000 0.500 0.250
Zn1 0.000 0.000 0.206
Si1 0.218 0.218 0.000
Ir1 0.000 0.000 0.500
# Density: 9.87 g cm⁻³
# ΔE_f (raw): -0.299 eV/atom
# E: -6.486 eV/atom

---

[5]
# V4Si6Ir7, relaxed, DFT PBE-GGA
data_V4Si6Ir7
_chemical_formula_sum 'V8 Si12 Ir14'
_cell_length_a 7.872
_cell_length_b 7.872
_cell_length_c 7.872
_cell_angle_alpha 90.00
_cell_angle_beta 90.00
_cell_angle_gamma 90.00
_space_group_name_H-M_alt 'I m -3 m'
_space_group_IT_number 229
_space_group_name_Hall '-I 4 2 3'
loop_
_atom_site_label
_atom_site_fract_x
_atom_site_fract_y
_atom_site_fract_z
V1 0.250 0.250 0.250
Si1 0.000 0.000 0.312
Ir1 0.000 0.000 0.000
Ir2 0.000 0.250 0.500
# Density: 11.69 g cm⁻³
# ΔE_f (raw): -0.525 eV/atom
# E: -8.233 eV/atom

---

[6]
# VSiIr3, relaxed, DFT PBE-GGA
data_VSiIr3
_chemical_formula_sum 'V1 Si1 Ir3'
_cell_length_a 4.399
_cell_length_b 4.399
_cell_length_c 4.399
_cell_angle_alpha 90.00
_cell_angle_beta 90.00
_cell_angle_gamma 90.00
_space_group_name_H-M_alt 'P m -3 m'
_space_group_IT_number 221
_space_group_name_Hall '-P 4 2 3'
loop_
_atom_site_label
_atom_site_fract_x
_atom_site_fract_y
_atom_site_fract_z
V1 0.000 0.000 0.000
Si1 0.500 0.500 0.500
Ir1 0.000 0.500 0.500
# Excess energy over the best structure of this formula in the dataset: 0.0 kJ per mole of atoms
# Density: 12.79 g cm⁻³
# ΔE_f (raw): 0.613 eV/atom
# E: -7.612 eV/atom

---

[7]
# VSiIr, relaxed, DFT PBE-GGA
data_VSiIr
_chemical_formula_sum 'V1 Si1 Ir1'
_cell_length_a 4.1399
_cell_length_b 4.1399
_cell_length_c 2.7662
_cell_angle_alpha 90.00
_cell_angle_beta 90.00
_cell_angle_gamma 120.00
_space_group_name_H-M_alt 'P -6 m 2'
_space_group_IT_number 187
_space_group_name_Hall 'P -6 2'
loop_
_atom_site_label
_atom_site_fract_x
_atom_site_fract_y
_atom_site_fract_z
V1 0.0000 0.0000 0.0000
Si1 0.6667 0.3333 0.5000
Ir1 0.3333 0.6667 0.5000
# Density: 10.97 g cm⁻³
# ΔE_f (raw): -0.617 eV/atom
# E: -8.418 eV/atom

---

[8]
# VSi2Ir, relaxed, DFT PBE-GGA
data_VSi2Ir
_chemical_formula_sum 'V1 Si2 Ir1'
_cell_length_a 4.249
_cell_length_b 4.249
_cell_length_c 2.897
_cell_angle_alpha 90.00
_cell_angle_beta 90.00
_cell_angle_gamma 90.00
_space_group_name_H-M_alt 'P 4/m m m'
_space_group_IT_number 123
_space_group_name_Hall '-P 4 2'
loop_
_atom_site_label
_atom_site_fract_x
_atom_site_fract_y
_atom_site_fract_z
V1 0.000 0.000 0.000
Si1 0.000 0.500 0.500
Ir1 0.500 0.500 0.000
# Density: 9.50 g cm⁻³
# ΔE_f (raw): -0.435 eV/atom
# E: -7.641 eV/atom

---

[9]
# VSi2Ir, relaxed, DFT PBE-GGA
data_VSi2Ir
_chemical_formula_sum 'V4 Si8 Ir4'
_cell_length_a 3.755
_cell_length_b 3.755
_cell_length_c 16.922
_cell_angle_alpha 90.00
_cell_angle_beta 90.00
_cell_angle_gamma 90.00
_space_group_name_H-M_alt 'I -4 2 d'
_space_group_IT_number 122
_space_group_name_Hall 'I -4 2bw'
loop_
_atom_site_label
_atom_site_fract_x
_atom_site_fract_y
_atom_site_fract_z
V1 0.000 0.000 0.000
Si1 0.248 0.250 0.625
Ir1 0.000 0.000 0.500
# Density: 8.33 g cm⁻³
# ΔE_f (raw): -0.027 eV/atom
# E: -7.233 eV/atom

---

[10]
# VSi2Ir, relaxed, DFT PBE-GGA
data_VSi2Ir
_chemical_formula_sum 'V4 Si8 Ir4'
_cell_length_a 5.971
_cell_length_b 5.971
_cell_length_c 5.971
_cell_angle_alpha 90.00
_cell_angle_beta 90.00
_cell_angle_gamma 90.00
_space_group_name_H-M_alt 'F m -3 m'
_space_group_IT_number 225
_space_group_name_Hall '-F 4 2 3'
loop_
_atom_site_label
_atom_site_fract_x
_atom_site_fract_y
_atom_site_fract_z
V1 0.000 0.000 0.000
Si1 0.250 0.250 0.250
Ir1 0.000 0.000 0.500
# Density: 9.34 g cm⁻³
# ΔE_f (raw): -0.345 eV/atom
# E: -7.551 eV/atom

---

[11]
# V4SiIr, relaxed, DFT PBE-GGA
data_V4SiIr
_chemical_formula_sum 'V8 Si2 Ir2'
_cell_length_a 5.700
_cell_length_b 5.700
_cell_length_c 5.923
_cell_angle_alpha 90.00
_cell_angle_beta 90.09
_cell_angle_gamma 90.00
_space_group_name_H-M_alt 'C 1 2/m 1'
_space_group_IT_number 12
loop_
_space_group_symop_operation_xyz
'x,y,z'
'-x,-y,-z'
'-x,y,-z'
'x,-y,z'
'x+1/2,y+1/2,z'
'-x+1/2,-y+1/2,-z'
'-x+1/2,y+1/2,-z'
'x+1/2,-y+1/2,z'
loop_
_atom_site_label
_atom_site_fract_x
_atom_site_fract_y
_atom_site_fract_z
V1 0.250 0.250 0.245
Si1 0.000 0.000 0.000
Ir1 0.000 0.500 0.500
# Density: 7.32 g cm⁻³
# ΔE_f (raw): 0.126 eV/atom
# E: -8.334 eV/atom

---

[12]
# V12Si6Ir, relaxed, DFT PBE-GGA
data_V12Si6Ir
_chemical_formula_sum 'V36 Si18 Ir3'
_cell_length_a 11.5068
_cell_length_b 11.5068
_cell_length_c 6.5571
_cell_angle_alpha 90.00
_cell_angle_beta 90.00
_cell_angle_gamma 120.00
_space_group_name_H-M_alt 'R -3'
_space_group_IT_number 148
_space_group_name_Hall '-R 3'
loop_
_atom_site_label
_atom_site_fract_x
_atom_site_fract_y
_atom_site_fract_z
V1 0.0083 0.8685 0.1589
V2 0.0598 0.4928 0.1790
Si1 0.0248 0.7558 0.8276
Ir1 0.0000 0.0000 0.5000
# Density: 6.44 g cm⁻³
# ΔE_f (raw): -0.372 eV/atom
# E: -8.310 eV/atom